Record 1
Here is a geometry-optimized RbNaZn2Pd structure from the Alexandria database. Energies are from PBE.

Results
Energy of formation = -93 meV/atom
Raw total energy = -10.49 eV per cell
Space group = No. 123

Cell lengths 5.0296, 5.0296, 5.4938 Å; angles 90.00, 90.00, 90.00 degrees
With the nearest neighbours (Å) after each atom.
Element x y z (fractional)
Rb  0.5000  0.5000  0.5000  4 Na 3.56, 8 Zn 3.72
Zn  0.5000  0.0000  0.0000  2 Pd 2.51
Pd  0.0000  0.0000  0.0000  4 Zn 2.51, 2 Na 2.75
Zn  0.0000  0.5000  0.0000  2 Pd 2.51
Na  0.0000  0.0000  0.5000  2 Pd 2.75


Record 2
Here is a geometry-optimized Sn3Cl2O2 structure from the Alexandria database. Energies are from PBE.

Results
Raw total energy = -65.67 eV per cell
Raw formation energy = -1031 meV per atom
Space group = No. 14

Cell lengths 6.4392, 9.0017, 7.1665 Å; angles 90.00, 60.00, 90.00 degrees
With the nearest neighbours (Å) after each atom.
Element x y z (fractional)
Sn  0.0000  0.0000  0.0000  2 O 2.30
Sn  0.5000  0.5000  0.0000  2 O 2.30
Cl  0.4622  0.8451  0.8312  2 Sn 2.81-2.94
O  0.4668  0.5358  0.3322  3 Sn 2.11-2.30
Sn  0.7508  0.5912  0.3873  2 O 2.11-2.12
Cl  0.0378  0.3451  0.1688  2 Sn 2.81-2.94
Cl  0.5378  0.1549  0.1688  2 Sn 2.81-2.94
Sn  0.2508  0.9088  0.3873  2 O 2.11-2.12
O  0.9668  0.9642  0.3322  3 Sn 2.11-2.30
O  0.5332  0.4642  0.6678  3 Sn 2.11-2.30
O  0.0332  0.0358  0.6678  3 Sn 2.11-2.30
Sn  0.2492  0.4088  0.6127  2 O 2.11-2.12
Sn  0.7492  0.0912  0.6127  2 O 2.11-2.12
Cl  0.9622  0.6549  0.8312  2 Sn 2.81-2.94


Record 3
Here is a geometry-optimized MnFeBP2 structure from the Alexandria database. Energies are from PBE.

Results
Energy of formation = -166 meV/atom
Raw total energy = -71.92 eV per cell
Space group = No. 38

Cell lengths 2.7381, 2.9469, 13.4215 Å; angles 90.00, 90.00, 90.00 degrees
With the nearest neighbours (Å) after each atom.
Element x y z (fractional)
Fe  0.0000  0.0000  0.0781  4 B 2.18, 2 P 2.22
B  0.5000  0.5000  0.1416  2 P 1.95
Mn  0.0000  0.5000  0.8757  6 P 2.23-2.32
P  0.5000  0.0000  0.2366  2 B 1.95
B  0.5000  0.0000  0.6416  2 P 1.95
P  0.5000  0.0000  0.9477  2 Fe 2.22, 4 Mn 2.23
P  0.5000  0.5000  0.7366  2 B 1.95
Mn  0.0000  0.0000  0.3757  6 P 2.23-2.32
P  0.5000  0.5000  0.4477  2 Fe 2.22, 4 Mn 2.23
Fe  0.0000  0.5000  0.5781  4 B 2.18, 2 P 2.22


Record 4
Here is a geometry-optimized MgAl2TlF8 structure from the Alexandria database. Energies are from PBE.

Results
Raw total energy = -63.02 eV per cell
Raw formation energy = -3050 meV per atom
Space group = No. 148

Cell lengths 5.5105, 5.5105, 9.1719 Å; angles 72.52, 72.52, 60.00 degrees
With the nearest neighbours (Å) after each atom.
Element x y z (fractional)
F  0.3827  0.8503  0.8640  1 Al 1.71
F  0.1497  0.0970  0.1360  1 Al 1.71
Al  0.7378  0.7378  0.7866  4 F 1.68-1.71
F  0.0970  0.6173  0.1360  1 Al 1.71
F  0.8030  0.8030  0.5910  1 Al 1.68
Al  0.2622  0.2622  0.2134  4 F 1.68-1.71
F  0.6173  0.1497  0.1360  1 Al 1.71
F  0.1970  0.1970  0.4090  1 Al 1.68
Mg  0.0000  0.0000  0.0000  6 F 2.00
F  0.8503  0.9030  0.8640  1 Al 1.71
Tl  0.5000  0.5000  0.5000  6 F 3.28
F  0.9030  0.3827  0.8640  1 Al 1.71